# LiThGaCo

Crystalline LiThGaCo at its relaxed geometry (PBE, Alexandria).

Values from the calculation:
- total DFT energy (no corrections) (eV/atom) = -5.1210
- calculated density (g/cm³) = 8.85
- energy of formation (eV/atom) = -0.25
- V (A^3/atom) = 17.2

extended XYZ file:
```
4
Lattice="0.000 3.255 3.255 3.255 0.000 3.255 3.255 3.255 0.000" Properties=species:S:1:pos:R:3 pbc="T T T"
Li 0.000 0.000 0.000
Th 1.627 1.627 1.627
Ga 4.882 4.882 4.882
Co 3.255 3.255 3.255
```